# GGA+U PaMnTeO6, optimized geometry
data_PaMnTeO6
_symmetry_space_group_name_H-M 'P 1'
_symmetry_Int_Tables_number 1
_cell_length_a 5.645
_cell_length_b 5.645
_cell_length_c 9.162
_cell_angle_alpha 90.00
_cell_angle_beta 90.00
_cell_angle_gamma 120.00
loop_
_symmetry_equiv_pos_as_xyz
'x,y,z'
loop_
_atom_site_label
_atom_site_type_symbol
_atom_site_fract_x
_atom_site_fract_y
_atom_site_fract_z
Mn1 Mn 0.000 0.000 0.000
O1 O 0.664 0.648 0.132
Mn2 Mn 0.000 0.000 0.500
Te1 Te 0.333 0.667 0.750
O2 O 0.664 0.016 0.368
O3 O 0.984 0.648 0.368
O4 O 0.648 0.984 0.868
O5 O 0.352 0.336 0.368
O6 O 0.016 0.664 0.868
Pa1 Pa 0.333 0.667 0.250
O7 O 0.352 0.016 0.132
O8 O 0.336 0.984 0.632
O9 O 0.336 0.352 0.868
O10 O 0.984 0.336 0.132
O11 O 0.016 0.352 0.632
O12 O 0.648 0.664 0.632
Te2 Te 0.667 0.333 0.250
Pa2 Pa 0.667 0.333 0.750
# electronic total energy	-135.4	eV/cell
# calculated volume	14.05	A^3/atom
# crystal system	trigonal